A geometry-optimized Li5Sm2Cd12 structure, computed with PBE.

The structure belongs to space group R-3m (No. 166, hexagonal axes); the cell edges are 9.8489, 9.8489 and 14.5225 Å and the angles 90.00°, 90.00° and 120.00°. Symmetry generates all atoms from Li at (0.0000, 0.0000, 0.0988), Li at (0.0000, 0.5000, 0.5000), Sm at (0.0000, 0.0000, 0.3448), Cd at (0.0000, 0.2965, 0.0000) and Cd at (0.0093, 0.5047, 0.8501).

The calculation puts the formation energy at -231.7 meV/atom. As for the spin magnetization: 0.00 μB/f.u.

=====

A geometry-optimized Li2SmCd6 structure, computed with PBE.

The structure belongs to space group P6/mmm (No. 191); the cell edges are 8.7119, 8.7119 and 3.1377 Å and the angles 90.00°, 90.00° and 120.00°. Symmetry generates all atoms from Li at (0.3333, 0.6667, 0.0000), Sm at (0.0000, 0.0000, 0.0000) and Cd at (0.0000, 0.3391, 0.5000).

The calculation puts the formation energy at -202.3 meV/atom. As for the spin magnetization: 0.00 μB/f.u.

=====

A geometry-optimized LiSm2Cd4 structure, computed with PBE.

The structure belongs to space group R-3m (No. 166, hexagonal axes); the cell edges are 5.2579, 5.2579 and 21.7624 Å and the angles 90.00°, 90.00° and 120.00°. Symmetry generates all atoms from Li at (0.0000, 0.0000, 0.0000), Sm at (0.0000, 0.0000, 0.2774), Cd at (0.0000, 0.0000, 0.1257) and Cd at (0.0000, 0.0000, 0.4282).

The value obtained for the distance to the lowest polymorph of the same formula is 0.0 meV/atom. The calculation puts the formation energy at -167.0 meV/atom. As for the spin magnetization: 0.00 μB/f.u.

=====

A geometry-optimized LiSmCd structure, computed with PBE.

The structure belongs to space group P3m1 (No. 156); the cell edges are 5.0376, 5.0376 and 3.3004 Å and the angles 90.00°, 90.00° and 120.00°. Symmetry generates all atoms from Li at (0.0000, 0.0000, 0.0000), Sm at (0.3333, 0.6667, 0.5011) and Cd at (0.6667, 0.3333, 0.0018).

The value obtained for the distance to the lowest polymorph of the same formula is 0.0 meV/atom. The calculation puts the formation energy at -185.9 meV/atom. As for the spin magnetization: 0.06 μB/f.u.

=====

A geometry-optimized LiSm2Cd2 structure, computed with PBE.

The structure belongs to space group C2/c (No. 15); the cell edges are 12.878, 6.578 and 6.059 Å and the angles 90.00°, 99.33° and 90.00°. Symmetry generates all atoms from Li at (0.000, 0.022, 0.250), Sm at (0.123, 0.360, 0.569) and Cd at (0.161, 0.140, 0.062).

The value obtained for the distance to the lowest polymorph of the same formula is 0.0 meV/atom. The calculation puts the formation energy at -176.6 meV/atom. As for the spin magnetization: 0.00 μB/f.u.

=====

A geometry-optimized Li4SmCd2 structure, computed with PBE.

The structure belongs to space group I4/mmm (No. 139); the cell edges are 3.757, 3.757 and 20.417 Å and the angles 90.00°, 90.00° and 90.00°. Symmetry generates all atoms from Li at (0.000, 0.000, 0.151), Li at (0.000, 0.500, 0.250), Sm at (0.000, 0.000, 0.000) and Cd at (0.000, 0.000, 0.393).

The calculation puts the formation energy at -83.9 meV/atom. As for the spin magnetization: 0.15 μB/f.u.

=====

A geometry-optimized LiSm2Cd8 structure, computed with PBE.

The structure belongs to space group P-1 (No. 2); the cell edges are 4.933, 6.828 and 8.297 Å and the angles 105.11°, 106.94° and 90.15°. Symmetry generates all atoms from Li at (0.000, 0.000, 0.000), Sm at (0.284, 0.336, 0.568), Cd at (0.094, 0.422, 0.183), Cd at (0.152, 0.876, 0.301), Cd at (0.348, 0.858, 0.701) and Cd at (0.485, 0.270, 0.966).

The calculation puts the formation energy at -225.1 meV/atom. As for the spin magnetization: 0.00 μB/f.u.

=====

A geometry-optimized LiSm4Cd2 structure, computed with PBE.

The structure belongs to space group R-3m (No. 166, hexagonal axes); the cell edges are 5.3150, 5.3150 and 25.5522 Å and the angles 90.00°, 90.00° and 120.00°. Symmetry generates all atoms from Li at (0.0000, 0.0000, 0.0000), Sm at (0.0000, 0.0000, 0.1302), Sm at (0.0000, 0.0000, 0.3828) and Cd at (0.0000, 0.0000, 0.2565).

The calculation puts the formation energy at -41.0 meV/atom. As for the spin magnetization: 0.88 μB/f.u.

=====

A geometry-optimized LiSmCd structure, computed with PBE.

The structure belongs to space group I4mm (No. 107); the cell edges are 3.802, 3.802 and 10.180 Å and the angles 90.00°, 90.00° and 90.00°. Symmetry generates all atoms from Li at (0.000, 0.000, 0.000), Sm at (0.000, 0.000, 0.311) and Cd at (0.000, 0.000, 0.630).

The value obtained for the distance to the lowest polymorph of the same formula is 52.6 meV/atom. The calculation puts the formation energy at -133.3 meV/atom. As for the spin magnetization: 0.00 μB/f.u.

=====

A geometry-optimized LiSm2Cd3 structure, computed with PBE.

The structure belongs to space group Fmmm (No. 69); the cell edges are 6.625, 10.140 and 17.570 Å and the angles 90.00°, 90.00° and 90.00°. Symmetry generates all atoms from Li at (0.000, 0.000, 0.167), Sm at (0.247, 0.000, 0.500), Sm at (0.250, 0.250, 0.250), Cd at (0.000, 0.000, 0.330) and Cd at (0.000, 0.245, 0.085).

The value obtained for the distance to the lowest polymorph of the same formula is 0.0 meV/atom. The calculation puts the formation energy at -270.4 meV/atom. As for the spin magnetization: 0.00 μB/f.u.

=====

A geometry-optimized Li4SmCd5 structure, computed with PBE.

The structure belongs to space group P4/mmm (No. 123); the cell edges are 3.450, 3.450 and 17.059 Å and the angles 90.00°, 90.00° and 90.00°. Symmetry generates all atoms from Li at (0.000, 0.000, 0.092), Li at (0.000, 0.000, 0.278), Sm at (0.000, 0.000, 0.500), Cd at (0.500, 0.500, 0.000), Cd at (0.500, 0.500, 0.184) and Cd at (0.500, 0.500, 0.369).

The calculation puts the formation energy at -258.3 meV/atom. As for the spin magnetization: 0.00 μB/f.u.

=====

A geometry-optimized LiSm4Cd structure, computed with PBE.

The structure belongs to space group P4/mmm (No. 123); the cell edges are 3.689, 3.689 and 13.075 Å and the angles 90.00°, 90.00° and 90.00°. Symmetry generates all atoms from Li at (0.000, 0.000, 0.000), Sm at (0.000, 0.000, 0.343), Sm at (0.500, 0.500, 0.153) and Cd at (0.500, 0.500, 0.500).

The calculation puts the formation energy at -53.8 meV/atom. As for the spin magnetization: 0.69 μB/f.u.

=====

A geometry-optimized Li2Sm3Cd4 structure, computed with PBE.

The structure belongs to space group C2/m (No. 12); the cell edges are 10.940, 5.058 and 9.400 Å and the angles 90.00°, 122.19° and 90.00°. Symmetry generates all atoms from Li at (0.114, 0.000, 0.282), Sm at (0.000, 0.500, 0.000), Sm at (0.165, 0.000, 0.668), Cd at (0.062, 0.500, 0.389) and Cd at (0.219, 0.000, 0.059).

The calculation puts the formation energy at -244.0 meV/atom. As for the spin magnetization: 0.00 μB/f.u.

=====

A geometry-optimized LiSm3Cd3 structure, computed with PBE.

The structure belongs to space group C2/m (No. 12); the cell edges are 10.787, 10.377 and 6.933 Å and the angles 90.00°, 90.37° and 90.00°. Symmetry generates all atoms from Li at (0.127, 0.000, 0.048), Sm at (0.077, 0.500, 0.752), Sm at (0.240, 0.305, 0.253), Cd at (0.000, 0.238, 0.000), Cd at (0.000, 0.240, 0.500) and Cd at (0.142, 0.000, 0.426).

The calculation puts the formation energy at -119.3 meV/atom. As for the spin magnetization: 0.00 μB/f.u.

=====

A geometry-optimized Li4SmCd8 structure, computed with PBE.

The structure belongs to space group I4/mmm (No. 139); the cell edges are 10.014, 10.014 and 5.277 Å and the angles 90.00°, 90.00° and 90.00°. Symmetry generates all atoms from Li at (0.250, 0.250, 0.250), Sm at (0.000, 0.000, 0.000), Cd at (0.000, 0.213, 0.500) and Cd at (0.000, 0.349, 0.000).

The calculation puts the formation energy at -246.0 meV/atom. As for the spin magnetization: 0.00 μB/f.u.

=====

A geometry-optimized LiSm6Cd2 structure, computed with PBE.

The structure belongs to space group P2_1/c (No. 14); the cell edges are 6.445, 9.575 and 9.832 Å and the angles 90.00°, 116.93° and 90.00°. Symmetry generates all atoms from Li at (0.000, 0.000, 0.000), Sm at (0.079, 0.163, 0.473), Sm at (0.349, 0.699, 0.438), Sm at (0.420, 0.037, 0.297) and Cd at (0.151, 0.096, 0.792).

The calculation puts the formation energy at -23.9 meV/atom. As for the spin magnetization: 0.00 μB/f.u.

=====

A geometry-optimized LiSmCd2 structure, computed with PBE.

The structure belongs to space group Fm-3m (No. 225); the cell edges are 7.242, 7.242 and 7.242 Å and the angles 90.00°, 90.00° and 90.00°. Symmetry generates all atoms from Li at (0.000, 0.000, 0.000), Sm at (0.000, 0.000, 0.500) and Cd at (0.250, 0.250, 0.250).

The value obtained for the distance to the lowest polymorph of the same formula is 0.0 meV/atom. The calculation puts the formation energy at -275.7 meV/atom. As for the spin magnetization: 0.00 μB/f.u.

=====

A geometry-optimized LiSmCd6 structure, computed with PBE.

The structure belongs to space group P4/mmm (No. 123); the cell edges are 4.649, 4.649 and 8.480 Å and the angles 90.00°, 90.00° and 90.00°. Symmetry generates all atoms from Li at (0.000, 0.000, 0.000), Sm at (0.000, 0.000, 0.500), Cd at (0.000, 0.500, 0.232), Cd at (0.500, 0.500, 0.000) and Cd at (0.500, 0.500, 0.500).

The value obtained for the distance to the lowest polymorph of the same formula is 6.2 meV/atom. The calculation puts the formation energy at -213.6 meV/atom. As for the spin magnetization: 0.00 μB/f.u.

=====

A geometry-optimized Li5SmCd4 structure, computed with PBE.

The structure belongs to space group P4/mmm (No. 123); the cell edges are 3.421, 3.421 and 17.063 Å and the angles 90.00°, 90.00° and 90.00°. Symmetry generates all atoms from Li at (0.000, 0.000, 0.000), Li at (0.000, 0.000, 0.186), Li at (0.000, 0.000, 0.365), Sm at (0.500, 0.500, 0.500), Cd at (0.500, 0.500, 0.094) and Cd at (0.500, 0.500, 0.282).

The calculation puts the formation energy at -170.0 meV/atom. As for the spin magnetization: 0.05 μB/f.u.

=====

A geometry-optimized LiSm2Cd4 structure, computed with PBE.

The structure belongs to space group I4/mmm (No. 139); the cell edges are 4.765, 4.765 and 16.106 Å and the angles 90.00°, 90.00° and 90.00°. Symmetry generates all atoms from Li at (0.000, 0.000, 0.000), Sm at (0.000, 0.000, 0.355), Cd at (0.000, 0.000, 0.159) and Cd at (0.000, 0.500, 0.000).

The value obtained for the distance to the lowest polymorph of the same formula is 115.0 meV/atom. The calculation puts the formation energy at -52.0 meV/atom. As for the spin magnetization: 0.00 μB/f.u.